# OsIN2F (PBE-GGA, optimized geometry)
# Final energy, eV/atom: -3.491
# Raw formation energy, eV per atom: 2.769
# Distance to the lowest polymorph of the same formula, eV per atom: 2.294
# Calculated density, Mg/m³: 8.749
# SG: No. 123
data_OsIN2F
_chemical_formula_sum 'Os1 I1 N2 F1'
_space_group_name_H-M_alt 'P 1'
_space_group_IT_number 1
_cell_length_a 3.977
_cell_length_b 3.977
_cell_length_c 4.370
_cell_angle_alpha 90.00
_cell_angle_beta 90.00
_cell_angle_gamma 90.00
loop_
_space_group_symop_operation_xyz
'x,y,z'
loop_
_atom_site_label
_atom_site_fract_x
_atom_site_fract_y
_atom_site_fract_z
_atom_site_occupancy
Os1 0.000 0.000 0.000 1
I1 0.500 0.500 0.000 1
N1 0.000 0.500 0.500 1
N2 0.500 0.000 0.500 1
F1 0.500 0.500 0.500 1